No. 1
Here is a crystal of TaInBi2Au relaxed with PBEsol from Alexandria. Energies are from SCAN.

## Properties
energy of formation	8.1	eV per formula unit
V	31.35	A^3/atom
density	9.6	g cm⁻³
crystal system	tetragonal

Structure (POSCAR):
```
TaInBi2Au
1.0
5.194 0.000 0.000
0.000 5.493 0.000
0.000 0.000 5.493
Ta Bi Au In
1 2 1 1
Direct
0.500 0.000 0.000
0.000 0.000 0.500
0.000 0.500 0.000
0.500 0.500 0.500
0.000 0.000 0.000
```

---

No. 2
Here is a crystal of GaSbN2F relaxed with PBEsol from Alexandria. Energies are from SCAN.

## Properties
V	13.59	A^3/atom
density	5.8	g cm⁻³
crystal system	tetragonal
E_form (uncorrected)	1.91	eV/f.u.

Structure (POSCAR):
```
GaSbN2F
1.0
-1.619 3.530 1.078
-3.663 -1.392 -0.945
-0.472 -1.411 3.910
F N Ga Sb
1 2 1 1
Direct
0.000 0.000 0.500
0.500 0.000 0.000
0.000 0.500 0.000
0.500 0.500 0.500
0.000 0.000 0.000
```

---

No. 3
Here is a crystal of Pr2Mg relaxed with PBEsol from Alexandria. Energies are from SCAN.

## Properties
energy of formation	-0.2	eV per formula unit
V	30.73	A^3/atom
density	5.5	g cm⁻³
crystal system	tetragonal

Structure (POSCAR):
```
Pr2Mg
1.0
3.677 0.000 0.000
0.000 3.677 0.000
-1.838 -1.838 6.820
Pr Mg
2 1
Direct
0.659 0.659 0.318
0.341 0.341 0.682
0.000 0.000 0.000
```

---

No. 4
Here is a crystal of Be3AgPd relaxed with PBEsol from Alexandria. Energies are from SCAN.

## Properties
energy of formation	1.9	eV per formula unit
V	14.63	A^3/atom
density	5.5	g cm⁻³
crystal system	cubic

Structure (POSCAR):
```
Be3AgPd
1.0
4.182 0.000 0.000
0.000 4.182 0.000
0.000 0.000 4.182
Be Pd Ag
3 1 1
Direct
0.000 0.500 0.000
0.500 0.000 0.000
0.000 0.000 0.500
0.000 0.000 0.000
0.500 0.500 0.500
```

---

No. 5
Here is a crystal of CoWAu2 relaxed with PBEsol from Alexandria. Energies are from SCAN.

## Properties
energy of formation	1.6	eV per formula unit
V	14.90	A^3/atom
density	17.7	g cm⁻³
crystal system	orthorhombic

Structure (POSCAR):
```
CoWAu2
1.0
2.743 0.000 0.030
0.000 4.080 0.000
-0.059 0.000 5.326
W Co Au
1 1 2
Direct
0.500 0.500 0.500
0.500 0.500 0.000
0.000 0.000 0.752
0.000 0.000 0.248
```

---

No. 6
Here is a crystal of ScTa2Au relaxed with PBEsol from Alexandria. Energies are from SCAN.

## Properties
energy of formation	0.1	eV per formula unit
V	18.22	A^3/atom
density	13.8	g cm⁻³
crystal system	tetragonal

Structure (POSCAR):
```
ScTa2Au
1.0
2.928 0.026 0.000
-0.025 2.928 0.000
0.000 0.000 8.497
Sc Ta Au
1 2 1
Direct
0.500 0.500 0.000
0.000 0.000 0.739
0.000 0.000 0.261
0.500 0.500 0.500
```

---

No. 7
Here is a crystal of SiSeCl2 relaxed with PBEsol from Alexandria. Energies are from SCAN.

## Properties
V	18.94	A^3/atom
density	3.9	g cm⁻³
crystal system	tetragonal
E_form (uncorrected)	2.19	eV/f.u.

Structure (POSCAR):
```
SiSeCl2
1.0
4.079 0.000 0.000
0.000 4.310 0.000
0.000 0.000 4.310
Si Cl Se
1 2 1
Direct
0.500 0.000 0.000
0.000 0.500 0.000
0.000 0.000 0.500
0.500 0.500 0.500
```

---

No. 8
Here is a crystal of MgFe2Ni2 relaxed with PBEsol from Alexandria. Energies are from SCAN.

## Properties
energy of formation	1.3	eV per formula unit
V	13.25	A^3/atom
density	6.4	g cm⁻³
crystal system	tetragonal

Structure (POSCAR):
```
MgFe2Ni2
1.0
3.716 0.000 0.000
0.000 3.716 0.000
-1.858 -1.858 4.796
Fe Ni Mg
2 2 1
Direct
0.390 0.390 0.780
0.610 0.610 0.220
0.250 0.750 0.500
0.750 0.250 0.500
0.000 0.000 0.000
```

---

No. 9
Here is a crystal of CdPbSN2 relaxed with PBEsol from Alexandria. Energies are from SCAN.

## Properties
V	19.73	A^3/atom
density	6.4	g cm⁻³
crystal system	tetragonal
E_form (uncorrected)	7.25	eV/f.u.

Structure (POSCAR):
```
CdPbSN2
1.0
-1.334 -0.535 3.989
-1.259 -3.936 -0.949
4.946 -1.919 1.397
Pb Cd N S
1 1 2 1
Direct
0.000 0.000 0.000
0.500 0.500 0.500
0.000 0.500 0.000
0.500 0.000 0.000
0.000 0.000 0.500
```

---

No. 10
Here is a crystal of BaLaAl2 relaxed with PBEsol from Alexandria. Energies are from SCAN.

## Properties
energy of formation	-0.8	eV per formula unit
V	28.01	A^3/atom
density	4.9	g cm⁻³
crystal system	orthorhombic

Structure (POSCAR):
```
BaLaAl2
1.0
-0.270 1.205 -3.558
-4.858 0.820 0.646
1.183 5.584 1.807
Al Ba La
2 1 1
Direct
0.875 0.500 0.248
0.875 0.000 0.978
0.375 0.000 0.455
0.374 0.500 0.820
```

---

No. 11
Here is a crystal of NaGa2Rh2 relaxed with PBEsol from Alexandria. Energies are from SCAN.

## Properties
energy of formation	-2.8	eV per formula unit
V	15.11	A^3/atom
density	8.1	g cm⁻³
crystal system	tetragonal

Structure (POSCAR):
```
NaGa2Rh2
1.0
2.844 0.000 0.000
0.000 7.290 0.000
0.000 0.000 7.290
Rh Na Ga
4 2 4
Direct
0.000 0.142 0.358
0.000 0.858 0.642
0.000 0.358 0.858
0.000 0.642 0.142
0.000 0.000 0.000
0.000 0.500 0.500
0.500 0.347 0.153
0.500 0.153 0.653
0.500 0.653 0.847
0.500 0.847 0.347
```

---

No. 12
Here is a crystal of Tl2HgBr relaxed with PBEsol from Alexandria. Energies are from SCAN.

## Properties
V	29.29	A^3/atom
density	9.8	g cm⁻³
crystal system	trigonal
E_form (uncorrected)	-1.47	eV/f.u.

Structure (POSCAR):
```
Tl2HgBr
1.0
-3.293 -0.219 1.958
-2.894 -2.130 -1.346
1.155 -8.060 4.803
Tl Hg Br
2 1 1
Direct
0.249 0.249 0.253
0.751 0.751 0.747
0.000 0.000 0.000
0.500 0.500 0.500
```

---

No. 13
Here is a crystal of Cs3SnCl relaxed with PBEsol from Alexandria. Energies are from SCAN.

## Properties
V	54.03	A^3/atom
density	3.4	g cm⁻³
crystal system	cubic
E_form (uncorrected)	-4.14	eV/f.u.

Structure (POSCAR):
```
Cs3SnCl
1.0
-1.418 4.068 4.820
1.240 -4.665 4.301
6.184 1.868 0.243
Cs Cl Sn
3 1 1
Direct
0.500 0.000 0.000
0.000 0.500 0.000
0.000 0.000 0.500
0.000 0.000 0.000
0.500 0.500 0.500
```

---

No. 14
Here is a crystal of YZrS2Cl relaxed with PBEsol from Alexandria. Energies are from SCAN.

## Properties
V	25.87	A^3/atom
density	3.6	g cm⁻³
crystal system	tetragonal
E_form (uncorrected)	-5.11	eV/f.u.

Structure (POSCAR):
```
YZrS2Cl
1.0
-1.892 -2.534 -3.752
-3.760 -1.709 3.051
-2.882 4.051 -1.283
Zr S Y Cl
1 2 1 1
Direct
0.500 0.500 0.500
0.000 0.000 0.500
0.000 0.500 0.000
0.000 0.000 0.000
0.500 0.000 0.000
```

---

No. 15
Here is a crystal of ReAu2Cl relaxed with PBEsol from Alexandria. Energies are from SCAN.

## Properties
V	16.38	A^3/atom
density	15.6	g cm⁻³
crystal system	orthorhombic
E_form (uncorrected)	3.24	eV/f.u.

Structure (POSCAR):
```
ReAu2Cl
1.0
2.743 0.000 0.000
0.000 5.233 0.026
0.000 -2.585 4.550
Au Cl Re
2 1 1
Direct
0.000 0.000 0.500
0.000 0.500 0.000
0.500 0.000 0.000
0.500 0.500 0.500
```

---

No. 16
Here is a crystal of SrCo2 relaxed with PBEsol from Alexandria. Energies are from SCAN.

## Properties
energy of formation	0.9	eV per formula unit
V	23.42	A^3/atom
density	4.9	g cm⁻³
crystal system	orthorhombic

Structure (POSCAR):
```
SrCo2
1.0
-0.129 -3.960 0.534
1.417 -0.552 -3.750
8.196 2.128 2.784
Sr Co
2 4
Direct
0.110 0.750 0.220
0.890 0.250 0.780
0.250 0.250 0.501
0.309 0.750 0.617
0.750 0.750 0.499
0.691 0.250 0.383
```

---

No. 17
Here is a crystal of Sr2Ag2Te relaxed with PBEsol from Alexandria. Energies are from SCAN.

## Properties
V	28.29	A^3/atom
density	6.1	g cm⁻³
crystal system	tetragonal
E_form (uncorrected)	-3.57	eV/f.u.

Structure (POSCAR):
```
Sr2Ag2Te
1.0
-1.295 -1.675 3.337
3.124 -2.420 -0.002
3.774 8.093 3.186
Ag Sr Te
2 2 1
Direct
0.250 0.750 0.500
0.750 0.250 0.500
0.607 0.607 0.214
0.393 0.393 0.786
0.000 0.000 0.000
```

---

No. 18
Here is a crystal of LaScIn relaxed with PBEsol from Alexandria. Energies are from SCAN.

## Properties
energy of formation	0.2	eV per formula unit
V	28.78	A^3/atom
density	5.7	g cm⁻³
crystal system	cubic

Structure (POSCAR):
```
LaScIn
1.0
-2.990 -0.089 -3.958
-0.055 -3.967 -2.978
-3.949 -3.002 -0.059
Sc In La
1 1 1
Direct
0.750 0.750 0.750
0.000 0.000 0.000
0.500 0.500 0.500
```

---

No. 19
Here is a crystal of AgCl2 relaxed with PBEsol from Alexandria. Energies are from SCAN.

## Properties
V	23.33	A^3/atom
density	4.2	g cm⁻³
crystal system	orthorhombic
E_form (uncorrected)	-1.13	eV/f.u.

Structure (POSCAR):
```
AgCl2
1.0
-1.281 1.109 3.208
1.718 -1.234 3.164
2.906 5.097 1.451
Cl Ag
2 1
Direct
0.361 0.000 0.278
0.639 0.000 0.722
0.000 0.000 0.000
```

---

No. 20
Here is a crystal of LiRe4Pb relaxed with PBEsol from Alexandria. Energies are from SCAN.

## Properties
energy of formation	3.9	eV per formula unit
V	16.93	A^3/atom
density	15.7	g cm⁻³
crystal system	cubic

Structure (POSCAR):
```
LiRe4Pb
1.0
5.237 0.000 0.000
2.619 4.536 0.000
2.619 1.512 4.276
Re Pb Li
4 1 1
Direct
0.376 0.376 0.873
0.376 0.873 0.376
0.873 0.376 0.376
0.376 0.376 0.376
0.000 0.000 0.000
0.750 0.750 0.750
```